The following is a PBE with a Hubbard U calculation of crystalline SrV2CdO8 at its relaxed geometry, from the Alexandria database.

Values from the calculation:
- Total energy: -76.79 eV for the cell shown

a b c (Å): 5.7866 5.7866 7.1842
angles (deg): 90.00 90.00 120.00
Fractional coordinates of all 12 atoms:
Sr 0.0000 0.0000 0.0000
V 0.3333 0.6667 0.2144
V 0.6667 0.3333 0.7856
Cd 0.0000 0.0000 0.5000
O 0.1655 0.3309 0.2825
O 0.1655 0.8345 0.2825
O 0.3309 0.1655 0.7175
O 0.3333 0.6667 0.9776
O 0.6667 0.3333 0.0224
O 0.6691 0.8345 0.2825
O 0.8345 0.1655 0.7175
O 0.8345 0.6691 0.7175